No. 1
Computed, not measured: a geometry-optimized FeAg2Pb structure at the GGA-PBE level of DFT.

## Properties
**SG**: I-42d, No. 122
**ΔH_f (0 K)**: 11.866 kcal/mol of atoms

```
FeAg2Pb
1.0
3.978 0.000 0.000
0.000 3.978 0.000
1.989 1.989 10.322
Pb Fe Ag
2 2 4
Cartesian
3.978 1.989 5.161
0.000 0.000 0.000
1.989 1.989 0.000
1.989 3.978 5.161
2.939 0.994 2.580
4.972 4.928 7.741
1.039 2.983 2.580
2.983 3.028 7.741
```

***

No. 2
Computed, not measured: a geometry-optimized FeAg2Pb structure at the GGA-PBE level of DFT.

## Properties
**SG**: P2/m, No. 10
**ΔH_f (0 K)**: 9.439 kcal/mol of atoms

```
FeAg2Pb
1.0
4.477 0.000 0.000
0.000 3.112 0.196
0.000 1.635 5.700
Ag Fe Pb
2 1 1
Cartesian
0.000 2.088 2.774
0.000 0.285 0.174
2.238 1.187 1.474
2.238 3.560 4.422
```

***

No. 3
Computed, not measured: a geometry-optimized FeAgPb2 structure at the GGA-PBE level of DFT.

## Properties
**SG**: I4/mmm, No. 139
**ΔH_f (0 K)**: 11.294 kcal/mol of atoms
**Distance to the lowest polymorph of the same formula**: 0.134 eV per atom

```
FeAgPb2
1.0
-0.843 -5.067 -1.165
4.905 -1.845 -0.527
-1.968 2.704 4.069
Fe Ag Pb
1 1 2
Cartesian
-0.390 -2.909 1.029
2.484 -1.298 1.348
2.031 -3.456 -0.846
0.000 0.000 0.000
```

***

No. 4
Computed, not measured: a geometry-optimized FeAgPb2 structure at the GGA-PBE level of DFT.

## Properties
**SG**: C2/m, No. 12
**ΔH_f (0 K)**: 11.030 kcal/mol of atoms
**Distance to the lowest polymorph of the same formula**: 0.123 eV per atom

```
FeAgPb2
1.0
-0.898 2.960 3.700
-3.843 1.840 2.260
-0.751 -3.820 4.507
Pb Fe Ag
2 1 1
Cartesian
-4.707 4.664 5.997
-2.779 0.627 5.196
-1.373 0.245 2.617
-4.119 0.736 7.850
```

***

No. 5
Computed, not measured: a geometry-optimized FeAgPb2 structure at the GGA-PBE level of DFT.

## Properties
**SG**: P4mm, No. 99
**ΔH_f (0 K)**: 8.201 kcal/mol of atoms
**Distance to the lowest polymorph of the same formula**: 0.000 eV per atom

```
FeAgPb2
1.0
3.238 -0.009 0.000
0.008 3.238 0.000
0.000 0.000 8.833
Pb Ag Fe
2 1 1
Cartesian
0.000 0.000 8.283
1.623 1.614 2.652
0.000 0.000 4.822
1.623 1.614 6.327
```

***

No. 6
Computed, not measured: a geometry-optimized FeAgPb2 structure at the GGA-PBE level of DFT.

## Properties
**SG**: Fm-3m, No. 225
**ΔH_f (0 K)**: 15.576 kcal/mol of atoms
**Distance to the lowest polymorph of the same formula**: 0.320 eV per atom

```
FeAgPb2
1.0
0.000 3.473 3.473
3.473 0.000 3.473
3.473 3.473 0.000
Fe Pb Ag
1 2 1
Cartesian
0.000 0.000 0.000
5.209 5.209 5.209
1.736 1.736 1.736
3.473 3.473 3.473
```

***

Let's list magnetic moment in order: 2.83 2.90 2.86 2.54 2.92 0.00 μB per formula unit.